A plane-wave DFT calculation with PBE-GGA was carried out for an optimized crystal structure of Ca5InCu2.

Lattice parameters (Å, degrees): 7.943 7.943 14.713 90.00 90.00 90.00
Space group I4/mcm (No. 140)
Symmetry-distinct sites (fractional):
Ca 0.000 0.000 0.000
Ca 0.171 0.329 0.140
In 0.000 0.000 0.250
Cu 0.112 0.388 0.500

Calculated values
M_tot (μB/atom): 0.0000
ΔH_f (0 K) (eV per atom): -0.232

A plane-wave DFT calculation with PBE-GGA was carried out for an optimized crystal structure of Ca3In4Cu2.

Lattice parameters (Å, degrees): 11.148 4.748 9.198 90.00 114.25 90.00
Space group C2/m (No. 12)
Symmetry-distinct sites (fractional):
Ca 0.000 0.000 0.000
Ca 0.180 0.500 0.640
In 0.026 0.000 0.356
In 0.230 0.500 0.081
Cu 0.089 0.500 0.263

Calculated values
M_tot (μB/atom): 0.0000
ΔH_f (0 K) (eV per atom): -0.328

A plane-wave DFT calculation with PBE-GGA was carried out for an optimized crystal structure of CaIn2Cu2.

Lattice parameters (Å, degrees): 4.387 4.387 11.201 90.00 90.00 90.00
Space group I4/mmm (No. 139)
Symmetry-distinct sites (fractional):
Ca 0.000 0.000 0.000
In 0.000 0.500 0.250
Cu 0.000 0.000 0.393

Calculated values
M_tot (μB/atom): 0.0000
ΔH_f (0 K) (eV per atom): -0.171

A plane-wave DFT calculation with PBE-GGA was carried out for an optimized crystal structure of CaIn2Cu2.

Lattice parameters (Å, degrees): 7.690 7.690 3.519 90.00 90.00 90.00
Space group P4/mbm (No. 127)
Symmetry-distinct sites (fractional):
Ca 0.000 0.000 0.000
In 0.174 0.326 0.500
Cu 0.117 0.617 0.000

Calculated values
M_tot (μB/atom): 0.0000
ΔH_f (0 K) (eV per atom): -0.070

> What is the M_tot in the fourth record?

0.0000 μB/atom

> Which value of ΔH_f (0 K) does entry 2 give?

-0.328 eV per atom

> What is the ΔH_f (0 K) in the second record?

-0.328 eV per atom